# 1
The following is a PBE calculation of crystalline CsKRb2Au at its relaxed geometry, from Alexandria via LeMat-Bulk.

It has space group P4/mmm (No. 123), with a = 7.051 Å, b = 7.051 Å, c = 6.822 Å, α = 90.00°, β = 90.00° and γ = 90.00°. The distinct sites, in fractional coordinates, are Cs at (0.000, 0.000, 0.000), K at (0.500, 0.500, 0.000), Rb at (0.000, 0.500, 0.500) and Au at (0.500, 0.500, 0.500).

The calculation puts the total energy at -1.535 eV/atom. The energy of formation from the pure elements is -103 meV/atom. The value obtained for the spin magnetization is 0.0 μB/f.u. As for the energy relative to the lowest polymorph listed for this composition: 12 meV per atom.

# 2
The following is a PBE calculation of crystalline SrPaCoN3 at its relaxed geometry, from Alexandria via LeMat-Bulk.

It has space group P2_1/m (No. 11), with a = 7.353 Å, b = 3.549 Å, c = 7.541 Å, α = 90.00°, β = 99.98° and γ = 90.00°. The distinct sites, in fractional coordinates, are Sr at (0.171, 0.250, 0.206), Pa at (0.342, 0.750, 0.830), Co at (0.070, 0.250, 0.595), N at (0.150, 0.250, 0.856), N at (0.163, 0.750, 0.540) and N at (0.442, 0.750, 0.137).

The calculation puts the total energy at -8.162 eV/atom. The value obtained for the spin magnetization is 1.0 μB/f.u. The energy relative to the elements, uncorrected comes out at -0.95 eV/atom.

# 3
The following is a PBE calculation of crystalline YTlAs2 at its relaxed geometry, from Alexandria via LeMat-Bulk.

It has space group R3m (No. 160, hexagonal axes), with a = 3.8258 Å, b = 3.8258 Å, c = 23.9395 Å, α = 90.00°, β = 90.00° and γ = 120.00°. The distinct sites, in fractional coordinates, are Y at (0.0000, 0.0000, 0.0000), Tl at (0.0000, 0.0000, 0.7675), As at (0.0000, 0.0000, 0.2534) and As at (0.0000, 0.0000, 0.5179).

The calculation puts the total energy at -4.666 eV/atom. The energy of formation from the pure elements is -134 meV/atom. The value obtained for the spin magnetization is 0.0 μB/f.u. As for the energy relative to the lowest polymorph listed for this composition: 486 meV per atom.

> Look up the spin magnetization of the first one.

0.0 μB/f.u.